Below is a relaxed VHgPb2O crystal, with properties calculated at the PBE+U level.

Results
**ΔE to the lowest computed polymorph**: 0 meV per atom
**Magnetic moment**: 0.2 μB/f.u.

CIF file:
```
data_VHgPb2O
_space_group_name_H-M_alt 'P 4/m m m'
_space_group_IT_number 123
_space_group_name_Hall '-P 4 2'
_cell_length_a 5.874
_cell_length_b 5.874
_cell_length_c 4.085
_cell_angle_alpha 90.00
_cell_angle_beta 90.00
_cell_angle_gamma 90.00
loop_
_atom_site_label
_atom_site_fract_x
_atom_site_fract_y
_atom_site_fract_z
V1 0.000 0.000 0.000
Hg1 0.500 0.500 0.500
Pb1 0.000 0.500 0.500
O1 0.500 0.500 0.000
```